Record 1
Compound: AcGa2GeRu2
Source: Alexandria via LeMat-Bulk
Functional: PBE
Structure: optimized geometry

Values from the calculation:
**Energy**: -0.2128 Ha/atom
**Space group**: P4/mmm
**ΔH_f (0 K)**: -0.2363 eV/atom

Cell: 4.587 4.587 6.000 Å, 90.00 90.00 90.00°
Site moments in Bohr magnetons follow the coordinates.
Fractional coordinates of all 6 atoms:
Ac 0.000 0.000 0.500  0.01
Ga 0.500 0.500 0.748  0.00
Ga 0.500 0.500 0.252  0.00
Ge 0.000 0.000 0.000  0.00
Ru 0.500 0.000 0.000  0.13
Ru 0.000 0.500 0.000  0.13


Record 2
Compound: LaNiGe2
Source: Alexandria via LeMat-Bulk
Functional: PBE
Structure: optimized geometry

Values from the calculation:
**Energy**: -0.2105 Ha/atom
**Space group**: Pnma
**ΔH_f (0 K)**: -0.7432 eV/atom

Cell: 4.260 7.000 10.641 Å, 90.00 90.00 90.00°
Fractional coordinates of all 16 atoms:
La 0.750 0.672 0.628
La 0.250 0.828 0.128
La 0.250 0.328 0.372
La 0.750 0.172 0.872
Ni 0.750 0.993 0.362
Ni 0.250 0.507 0.862
Ni 0.250 0.007 0.638
Ni 0.750 0.493 0.138
Ge 0.750 0.147 0.567
Ge 0.250 0.353 0.067
Ge 0.250 0.853 0.433
Ge 0.750 0.647 0.933
Ge 0.750 0.653 0.331
Ge 0.250 0.847 0.831
Ge 0.250 0.347 0.669
Ge 0.750 0.153 0.169


Record 3
Compound: CsZnSe2
Source: Alexandria via LeMat-Bulk
Functional: PBE
Structure: optimized geometry

Values from the calculation:
**Energy relative to the elements, uncorrected**: -0.6655 eV per atom
**Energy**: -0.1080 Ha/atom
**Space group**: I4_1/amd

Cell: 8.780 8.780 8.780 Å, 138.64 138.64 59.93°
Fractional coordinates of all 8 atoms:
Cs 0.000 0.000 0.000
Cs 0.750 0.250 0.500
Zn 0.500 0.500 0.000
Zn 0.250 0.750 0.500
Se 0.375 0.625 0.750
Se 0.875 0.625 0.250
Se 0.375 0.125 0.750
Se 0.375 0.625 0.250


Record 4
Compound: LiTc2Os
Source: Alexandria via LeMat-Bulk
Functional: PBE
Structure: optimized geometry

Values from the calculation:
**Energy**: -0.2837 Ha/atom
**Space group**: I-42d
**ΔH_f (0 K)**: 0.7492 eV/atom
**Offset from the most stable computed form**: 587 meV per atom

Cell: 7.082 7.082 5.616 Å, 50.91 50.91 90.00°
Fractional coordinates of all 8 atoms:
Os 0.000 0.000 0.000
Os 0.750 0.250 0.500
Tc 0.657 0.125 0.250
Tc 0.093 0.625 0.250
Tc 0.375 0.343 0.750
Tc 0.875 0.907 0.750
Li 0.500 0.500 0.000
Li 0.250 0.750 0.500